No. 1
Density functional theory data (PBE-GGA) for an optimized crystal structure of Cd4TeAu.

Summary:
The uncorrected formation energy comes out at 0.174 eV/atom.

a b c (Å): 8.287 8.287 8.287
angles (deg): 90.00 90.00 90.00
Space group F-43m (No. 216)
Asymmetric unit:
Cd (0.125, 0.125, 0.125) (multiplicity 16)
Te (0.250, 0.250, 0.750) (multiplicity 4)
Au (0.000, 0.000, 0.500) (multiplicity 4)


No. 2
Density functional theory data (PBE-GGA) for an optimized crystal structure of ZnFeBr2.

Summary:
Its energy above the most stable polymorph in this dataset is 151 meV per atom. The uncorrected formation energy comes out at 0.053 eV/atom.

a b c (Å): 3.516 7.213 10.251
angles (deg): 90.00 90.00 90.00
Space group Cmmm (No. 65)
Asymmetric unit:
Zn (0.000, 0.000, 0.000) (multiplicity 2)
Fe (0.000, 0.000, 0.500) (multiplicity 2)
Br (0.000, 0.500, 0.327) (multiplicity 4)


No. 3
Density functional theory data (PBE-GGA) for an optimized crystal structure of LiMgCdCo.

Summary:
The total energy comes out at -11.4 eV/f.u.

a b c (Å): 6.310 6.310 6.310
angles (deg): 90.00 90.00 90.00
Space group F-43m (No. 216)
Asymmetric unit:
Li (0.000, 0.000, 0.000) (multiplicity 4)
Mg (0.250, 0.250, 0.750) (multiplicity 4)
Cd (0.250, 0.250, 0.250) (multiplicity 4)
Co (0.000, 0.000, 0.500) (multiplicity 4)